Entry from the Alexandria database: a crystal of BaPtPb2 relaxed with PBEsol (meta-GGA SCAN).

Results
Total moment, μB per cell: 0.00
E_form, meV per atom: -590

Unit cell a=4.704 b=4.704 c=6.776 alpha=69.69 beta=69.69 gamma=60.00
Sites, in units of the cell vectors:
Pb 0.963 0.963 0.110
Pb 0.199 0.199 0.403
Ba 0.750 0.750 0.749
Pt 0.572 0.572 0.285